Record 1
HgTe2Pt | PBE-GGA | relaxed

Geometry as POSCAR:
```
HgTe2Pt
1.0
6.949 0.000 0.000
0.000 5.440 0.000
-6.948 0.000 11.921
Hg Te Pt
4 8 4
direct
0.136 0.158 0.232
0.136 0.342 0.732
0.864 0.658 0.268
0.864 0.842 0.768
0.202 0.683 0.119
0.202 0.817 0.619
0.495 0.205 0.065
0.495 0.295 0.565
0.505 0.705 0.435
0.505 0.795 0.935
0.798 0.183 0.381
0.798 0.317 0.881
0.179 0.529 0.928
0.179 0.971 0.428
0.821 0.029 0.572
0.821 0.471 0.072
```

Computed properties:
SG: P2_1/c, No. 14
Magnetic moment, μB/atom: 0.000
Formation energy from raw total energies, eV per atom: -0.16
N(E_F), states/eV per cell: 8.3



Record 2
MnAlP2 | PBE-GGA | relaxed

Geometry as POSCAR:
```
MnAlP2
1.0
7.280 0.000 0.000
0.000 3.106 0.000
-1.208 0.000 5.358
Mn Al P
2 2 4
direct
0.000 0.000 0.000
0.500 0.500 0.000
0.411 0.500 0.539
0.911 0.000 0.539
0.084 0.500 0.314
0.278 0.000 0.911
0.584 0.000 0.314
0.778 0.500 0.911
```

Computed properties:
Formation energy, kJ/mol of formula units: -100
SG: Cm, No. 8
Magnetic moment, μB/atom: 0.164
N(E_F), states/eV per cell: 2.7



Record 3
CePmHg2 | PBE-GGA | relaxed

Geometry as POSCAR:
```
CePmHg2
1.0
7.644 0.000 0.000
0.000 7.644 0.000
0.000 0.000 7.644
Ce Pm Hg
4 4 8
direct
0.000 0.000 0.000
0.000 0.500 0.500
0.500 0.000 0.500
0.500 0.500 0.000
0.000 0.000 0.500
0.000 0.500 0.000
0.500 0.000 0.000
0.500 0.500 0.500
0.250 0.250 0.250
0.250 0.250 0.750
0.250 0.750 0.250
0.250 0.750 0.750
0.750 0.250 0.250
0.750 0.250 0.750
0.750 0.750 0.250
0.750 0.750 0.750
```

Computed properties:
Formation energy, kJ/mol of formula units: -145
SG: Fm-3m, No. 225
Magnetic moment, μB/atom: 0.468
N(E_F), states/eV per cell: 45.8
ΔE to the lowest computed polymorph, kcal/mol of atoms: 0.07



Record 4
CuSi2Pt | PBE-GGA | relaxed

Geometry as POSCAR:
```
CuSi2Pt
1.0
3.280 0.000 0.000
0.000 3.280 0.000
0.000 0.000 5.236
Cu Si Pt
1 2 1
direct
0.000 0.000 0.000
0.500 0.500 0.241
0.500 0.500 0.759
0.000 0.000 0.500
```

Computed properties:
SG: P4/mmm, No. 123
Magnetic moment, μB/atom: 0.000
Formation energy from raw total energies, eV per atom: -0.01
N(E_F), states/eV per cell: 1.8
ΔE to the lowest computed polymorph, kcal/mol of atoms: 5.01



Record 5
Mg16Zn12Ag | PBE-GGA | relaxed

Geometry as POSCAR:
```
Mg16Zn12Ag
1.0
5.149 -6.953 0.000
5.149 6.953 0.000
-4.313 0.000 7.562
Mg Zn Ag
16 12 1
direct
0.000 0.000 0.000
0.001 0.372 0.001
0.305 0.694 0.690
0.336 0.995 0.584
0.349 0.590 0.998
0.372 0.001 0.001
0.381 0.381 0.651
0.384 0.652 0.375
0.590 0.349 0.998
0.595 0.988 0.335
0.652 0.384 0.375
0.694 0.305 0.690
0.699 0.699 0.689
0.984 0.984 0.355
0.988 0.595 0.335
0.995 0.336 0.584
0.029 0.648 0.831
0.030 0.840 0.652
0.136 0.330 0.328
0.188 0.797 0.183
0.191 0.191 0.798
0.322 0.322 0.134
0.330 0.136 0.328
0.648 0.029 0.831
0.649 0.835 0.016
0.797 0.188 0.183
0.835 0.649 0.016
0.840 0.030 0.652
0.689 0.689 0.308
```

Computed properties:
Formation energy, kJ/mol of formula units: -246
SG: Cm, No. 8
Magnetic moment, μB/atom: 0.000
N(E_F), states/eV per cell: 3.9



Record 6
Ho2PaS2N2 | PBE-GGA | relaxed

Geometry as POSCAR:
```
Ho2PaS2N2
1.0
4.327 0.000 0.000
0.000 4.327 0.000
0.000 0.000 14.377
Ho Pa S N
4 2 4 4
direct
0.000 0.000 0.126
0.000 0.000 0.874
0.500 0.500 0.374
0.500 0.500 0.626
0.000 0.000 0.500
0.500 0.500 0.000
0.000 0.000 0.313
0.000 0.000 0.687
0.500 0.500 0.187
0.500 0.500 0.813
0.000 0.500 0.000
0.000 0.500 0.500
0.500 0.000 0.000
0.500 0.000 0.500
```

Computed properties:
SG: I4/mmm, No. 139
Magnetic moment, μB/atom: 0.036
Formation energy from raw total energies, eV per atom: -1.49
N(E_F), states/eV per cell: 12.1



Record 7
Ce2ErScTl4 | PBE-GGA | relaxed

Geometry as POSCAR:
```
Ce2ErScTl4
1.0
2.685 1.550 8.805
-2.685 1.550 8.805
0.000 -3.100 8.805
Ce Er Sc Tl
2 1 1 4
direct
0.248 0.248 0.248
0.752 0.752 0.752
0.000 0.000 0.000
0.500 0.500 0.500
0.126 0.126 0.126
0.376 0.376 0.376
0.624 0.624 0.624
0.874 0.874 0.874
```

Computed properties:
Formation energy, kJ/mol of formula units: -193
SG: R-3m, No. 166
Magnetic moment, μB/atom: 0.299
N(E_F), states/eV per cell: 17.7



What did the first record say?
HgTe2Pt | PBE-GGA | relaxed

Geometry as POSCAR:
```
HgTe2Pt
1.0
6.949 0.000 0.000
0.000 5.440 0.000
-6.948 0.000 11.921
Hg Te Pt
4 8 4
direct
0.136 0.158 0.232
0.136 0.342 0.732
0.864 0.658 0.268
0.864 0.842 0.768
0.202 0.683 0.119
0.202 0.817 0.619
0.495 0.205 0.065
0.495 0.295 0.565
0.505 0.705 0.435
0.505 0.795 0.935
0.798 0.183 0.381
0.798 0.317 0.881
0.179 0.529 0.928
0.179 0.971 0.428
0.821 0.029 0.572
0.821 0.471 0.072
```

Computed properties:
SG: P2_1/c, No. 14
Magnetic moment, μB/atom: 0.000
Formation energy from raw total energies, eV per atom: -0.16
N(E_F), states/eV per cell: 8.3



Number 1 is which compound?
HgTe2Pt